<i>
4
Lattice="3.7090 0.0000 0.0000 0.0000 3.7090 0.0000 0.0000 0.0000 7.4280" Properties=species:S:1:pos:R:3 comment="PBE-GGA LiTm2Mg, optimized geometry" dos_at_fermi_per_ev_atom=1.17 mass_density_g_cm3=6.00 magnetic_moment_mub_per_fu=0.00 pbc="T T T"
Li 0.0000 0.0000 0.0000
Tm 1.8545 1.8545 1.8486
Tm 1.8545 1.8545 5.5794
Mg 0.0000 0.0000 3.7140

<ii>
4
Lattice="0.0000 3.7189 3.7189 3.7189 0.0000 3.7189 3.7189 3.7189 0.0000" Properties=species:S:1:pos:R:3 comment="PBE-GGA LiTm2Mg, optimized geometry" dos_at_fermi_per_ev_atom=1.49 mass_density_g_cm3=5.96 magnetic_moment_mub_per_fu=0.45 pbc="T T T"
Li 0.0000 0.0000 0.0000
Tm 1.8594 1.8594 1.8594
Tm 5.5783 5.5783 5.5783
Mg 3.7189 3.7189 3.7189

Most stable one: <i>, least stable one: <ii>.

<i>
12
Lattice="9.9009 0.0000 0.0000 0.0000 3.2392 0.0000 0.0000 0.0000 8.7901" Properties=species:S:1:pos:R:3 comment="PBE-GGA LiTmMg4, optimized geometry" dos_at_fermi_per_ev_atom=0.71 mass_density_g_cm3=3.22 magnetic_moment_mub_per_fu=0.00 pbc="T T T"
Li 2.4752 0.0000 1.5495
Li 7.4257 0.0000 7.2406
Tm 2.4752 0.0000 4.7528
Tm 7.4257 0.0000 4.0374
Mg 0.0000 0.0000 0.0000
Mg 0.2163 1.6196 2.8149
Mg 2.4752 1.6196 7.6578
Mg 4.7342 1.6196 2.8149
Mg 4.9504 0.0000 0.0000
Mg 5.1667 1.6196 5.9752
Mg 7.4257 1.6196 1.1323
Mg 9.6846 1.6196 5.9752

<ii>
6
Lattice="3.4128 0.0000 0.0000 0.0000 3.4128 0.0000 0.0000 0.0000 11.8539" Properties=species:S:1:pos:R:3 comment="PBE-GGA LiTmMg4, optimized geometry" dos_at_fermi_per_ev_atom=0.48 mass_density_g_cm3=3.28 magnetic_moment_mub_per_fu=0.00 pbc="T T T"
Li 0.0000 0.0000 0.0000
Tm 1.7064 1.7064 5.9269
Mg 0.0000 0.0000 3.6522
Mg 0.0000 0.0000 8.2017
Mg 1.7064 1.7064 1.6871
Mg 1.7064 1.7064 10.1668

<iii>
6
Lattice="0.0000 4.2028 4.2028 4.2028 0.0000 4.2028 4.2028 4.2028 0.0000" Properties=species:S:1:pos:R:3 comment="PBE-GGA LiTmMg4, optimized geometry" dos_at_fermi_per_ev_atom=0.58 mass_density_g_cm3=3.05 magnetic_moment_mub_per_fu=0.00 pbc="T T T"
Li 0.0000 0.0000 0.0000
Tm 6.3042 6.3042 6.3042
Mg 3.1529 3.1529 3.1529
Mg 5.2527 5.2527 3.1529
Mg 5.2527 3.1529 5.2527
Mg 3.1529 5.2527 5.2527

Most stable one: <ii>, least stable one: <iii>.